La2TmNpN4: optimized geometry, PBE-GGA. Values from VASP.

Results
For the total moment, the calculation gives 2.47 Bohr magnetons per cell.

Structure (Quantum ESPRESSO input):
```
&SYSTEM
  ibrav = 0, nat = 8, ntyp = 4
/
ATOMIC_SPECIES
La 138.91 La.upf
Tm 168.93 Tm.upf
Np 237.00 Np.upf
N 14.01 N.upf
CELL_PARAMETERS angstrom
6.044 0.000 0.000
0.000 3.544 0.000
-1.977 0.000 5.945
ATOMIC_POSITIONS angstrom
La 0.000 0.000 0.000
La 3.022 1.772 0.000
Tm -0.988 1.772 2.973
Np 2.033 0.000 2.973
N 0.144 0.000 4.212
N 1.057 1.772 1.719
N 3.010 1.772 4.226
N 3.922 0.000 1.733
```



La2NpUN4: optimized geometry, PBE-GGA. Values from VASP.

Results
For the total moment, the calculation gives 3.75 Bohr magnetons per cell.

Structure (Quantum ESPRESSO input):
```
&SYSTEM
  ibrav = 0, nat = 8, ntyp = 4
/
ATOMIC_SPECIES
La 138.91 La.upf
Np 237.00 Np.upf
U 238.03 U.upf
N 14.01 N.upf
CELL_PARAMETERS angstrom
6.133 0.000 0.000
0.000 3.546 0.000
-2.075 0.000 5.922
ATOMIC_POSITIONS angstrom
La 0.000 0.000 0.000
La 3.067 1.773 0.000
Np -1.038 1.773 2.961
U 2.029 0.000 2.961
N 0.031 0.000 4.150
N 1.077 1.773 1.778
N 2.981 1.773 4.144
N 4.027 0.000 1.772
```



La2NpUN5: optimized geometry, PBE-GGA. Values from VASP.

Results
For the total moment, the calculation gives 3.55 Bohr magnetons per cell.

Structure (Quantum ESPRESSO input):
```
&SYSTEM
  ibrav = 0, nat = 9, ntyp = 4
/
ATOMIC_SPECIES
La 138.91 La.upf
Np 237.00 Np.upf
U 238.03 U.upf
N 14.01 N.upf
CELL_PARAMETERS angstrom
4.110 0.000 0.000
0.000 4.110 0.000
0.000 0.000 8.877
ATOMIC_POSITIONS angstrom
La 0.000 0.000 2.047
La 0.000 0.000 6.830
Np 2.055 2.055 0.000
U 2.055 2.055 4.439
N 0.000 0.000 4.439
N 0.000 2.055 0.000
N 2.055 0.000 0.000
N 2.055 2.055 2.411
N 2.055 2.055 6.467
```



LaNp2VN4: optimized geometry, PBE-GGA. Values from VASP.

Results
For the total moment, the calculation gives 14.04 Bohr magnetons per cell.

Structure (Quantum ESPRESSO input):
```
&SYSTEM
  ibrav = 0, nat = 16, ntyp = 4
/
ATOMIC_SPECIES
La 138.91 La.upf
Np 237.00 Np.upf
V 50.94 V.upf
N 14.01 N.upf
CELL_PARAMETERS angstrom
1.711 -5.871 0.000
1.711 5.871 0.000
0.000 0.000 11.697
ATOMIC_POSITIONS angstrom
La 1.711 4.799 8.773
La 1.711 -4.799 2.924
Np 1.711 1.541 6.391
Np 1.711 1.541 11.155
Np 1.711 -1.541 0.543
Np 1.711 -1.541 5.306
V 1.711 3.881 2.924
V 1.711 -3.881 8.773
N 0.000 0.000 0.000
N 0.000 0.000 5.849
N 1.711 2.785 1.390
N 1.711 2.785 4.459
N 1.711 0.869 8.773
N 1.711 -0.869 2.924
N 1.711 -2.785 7.239
N 1.711 -2.785 10.307
```



La2Y3NpN6: optimized geometry, PBE-GGA. Values from VASP.

Results
For the total moment, the calculation gives 2.77 Bohr magnetons per cell.

Structure (Quantum ESPRESSO input):
```
&SYSTEM
  ibrav = 0, nat = 12, ntyp = 4
/
ATOMIC_SPECIES
La 138.91 La.upf
Y 88.91 Y.upf
Np 237.00 Np.upf
N 14.01 N.upf
CELL_PARAMETERS angstrom
3.088 -5.346 0.000
3.088 5.346 0.000
-2.054 0.000 5.781
ATOMIC_POSITIONS angstrom
La 3.088 3.560 0.000
La 3.088 -3.560 0.000
Y -1.027 0.000 2.890
Y 2.061 1.762 2.890
Y 2.061 -1.762 2.890
Np 3.088 0.000 0.000
N 0.084 1.638 4.316
N 1.220 0.000 1.424
N 0.084 -1.638 4.316
N 4.037 1.638 1.465
N 2.901 0.000 4.356
N 4.037 -1.638 1.465
```



La2ZrNpN6: optimized geometry, PBE-GGA. Values from VASP.

Results
For the total moment, the calculation gives 0.00 Bohr magnetons per cell.

Structure (Quantum ESPRESSO input):
```
&SYSTEM
  ibrav = 0, nat = 20, ntyp = 4
/
ATOMIC_SPECIES
La 138.91 La.upf
Zr 91.22 Zr.upf
Np 237.00 Np.upf
N 14.01 N.upf
CELL_PARAMETERS angstrom
5.926 0.000 0.000
0.000 5.898 0.000
-5.892 0.000 8.369
ATOMIC_POSITIONS angstrom
La -0.044 0.168 2.094
La -2.990 2.781 6.278
La 3.024 3.117 2.091
La 0.078 5.730 6.275
Zr 2.963 0.000 0.000
Zr 0.017 2.949 4.184
Np -2.946 0.000 4.184
Np 0.000 2.949 0.000
N -4.625 1.331 7.931
N -1.679 1.618 3.746
N -4.274 4.190 7.965
N -1.329 4.658 3.780
N -2.390 0.117 6.219
N 0.556 2.832 2.034
N -0.522 3.066 6.335
N 2.424 5.782 2.150
N 1.363 1.240 4.589
N 4.309 1.709 0.404
N 1.713 4.281 4.623
N 4.659 4.567 0.438
```



LaZrNpN3: optimized geometry, PBE-GGA. Values from VASP.

Results
For the total moment, the calculation gives 2.38 Bohr magnetons per cell.

Structure (Quantum ESPRESSO input):
```
&SYSTEM
  ibrav = 0, nat = 12, ntyp = 4
/
ATOMIC_SPECIES
La 138.91 La.upf
Zr 91.22 Zr.upf
Np 237.00 Np.upf
N 14.01 N.upf
CELL_PARAMETERS angstrom
7.034 0.000 0.000
0.000 3.503 0.000
-2.116 0.000 8.795
ATOMIC_POSITIONS angstrom
La 0.951 0.876 1.286
La 3.967 2.628 7.509
Zr 0.636 2.628 7.643
Zr 4.282 0.876 1.152
Np -0.888 0.876 5.262
Np 5.807 2.628 3.532
N -1.007 0.876 7.513
N 0.359 2.628 5.444
N 2.753 2.628 1.061
N 2.165 0.876 7.734
N 4.559 0.876 3.351
N 5.925 2.628 1.282
```



La2NO: optimized geometry, PBE-GGA. Values from VASP.

Results
For the total moment, the calculation gives 0.00 Bohr magnetons per cell. Its energy above the lowest structure with this stoichiometry is 54 kJ/mol of formula units.

Structure (Quantum ESPRESSO input):
```
&SYSTEM
  ibrav = 0, nat = 4, ntyp = 3
/
ATOMIC_SPECIES
La 138.91 La.upf
N 14.01 N.upf
O 16.00 O.upf
CELL_PARAMETERS angstrom
1.805 1.042 6.355
-1.805 1.042 6.355
0.000 -2.085 6.355
ATOMIC_POSITIONS angstrom
La 0.000 0.000 0.000
La 0.000 0.000 3.371
N 0.000 0.000 11.222
O 0.000 0.000 7.999
```



La4N3O: optimized geometry, PBE-GGA. Values from VASP.

Results
For the total moment, the calculation gives 0.00 Bohr magnetons per cell. Its energy above the lowest structure with this stoichiometry is 13 kJ/mol of formula units.

Structure (Quantum ESPRESSO input):
```
&SYSTEM
  ibrav = 0, nat = 8, ntyp = 3
/
ATOMIC_SPECIES
La 138.91 La.upf
N 14.01 N.upf
O 16.00 O.upf
CELL_PARAMETERS angstrom
5.267 0.000 0.000
0.000 5.267 0.000
0.000 0.000 5.267
ATOMIC_POSITIONS angstrom
La 0.000 0.000 0.000
La 0.000 2.633 2.633
La 2.633 0.000 2.633
La 2.633 2.633 0.000
N 0.000 0.000 2.633
N 0.000 2.633 0.000
N 2.633 0.000 0.000
O 2.633 2.633 2.633
```



La2NO: optimized geometry, PBE-GGA. Values from VASP.

Results
For the total moment, the calculation gives 0.00 Bohr magnetons per cell. Its energy above the lowest structure with this stoichiometry is 201 kJ/mol of formula units.

Structure (Quantum ESPRESSO input):
```
&SYSTEM
  ibrav = 0, nat = 4, ntyp = 3
/
ATOMIC_SPECIES
La 138.91 La.upf
N 14.01 N.upf
O 16.00 O.upf
CELL_PARAMETERS angstrom
0.000 3.146 3.146
3.146 0.000 3.146
3.146 3.146 0.000
ATOMIC_POSITIONS angstrom
La 1.573 1.573 1.573
La 4.720 4.720 4.720
N 0.000 0.000 0.000
O 3.146 3.146 3.146
```



La3NO: optimized geometry, PBE-GGA. Values from VASP.

Results
For the total moment, the calculation gives 0.00 Bohr magnetons per cell. Its energy above the lowest structure with this stoichiometry is 421 kJ/mol of formula units.

Structure (Quantum ESPRESSO input):
```
&SYSTEM
  ibrav = 0, nat = 5, ntyp = 3
/
ATOMIC_SPECIES
La 138.91 La.upf
N 14.01 N.upf
O 16.00 O.upf
CELL_PARAMETERS angstrom
4.813 0.000 0.000
0.000 4.813 0.000
0.000 0.000 4.813
ATOMIC_POSITIONS angstrom
La 0.000 0.000 2.407
La 0.000 2.407 0.000
La 2.407 0.000 0.000
N 2.407 2.407 2.407
O 0.000 0.000 0.000
```



La4N3O: optimized geometry, PBE-GGA. Values from VASP.

Results
For the total moment, the calculation gives 0.00 Bohr magnetons per cell. Its energy above the lowest structure with this stoichiometry is 0 kJ/mol of formula units.

Structure (Quantum ESPRESSO input):
```
&SYSTEM
  ibrav = 0, nat = 8, ntyp = 3
/
ATOMIC_SPECIES
La 138.91 La.upf
N 14.01 N.upf
O 16.00 O.upf
CELL_PARAMETERS angstrom
3.727 -5.258 0.000
3.727 5.258 0.000
0.000 0.000 3.726
ATOMIC_POSITIONS angstrom
La 1.830 0.000 1.863
La 3.727 2.640 0.000
La 3.727 -2.640 0.000
La 5.623 0.000 1.863
N 0.000 0.000 0.000
N 1.863 2.629 1.863
N 1.863 -2.629 1.863
O 3.727 0.000 0.000
```



La2NO: optimized geometry, PBE-GGA. Values from VASP.

Results
For the total moment, the calculation gives 0.00 Bohr magnetons per cell. Its energy above the lowest structure with this stoichiometry is 0 kJ/mol of formula units.

Structure (Quantum ESPRESSO input):
```
&SYSTEM
  ibrav = 0, nat = 4, ntyp = 3
/
ATOMIC_SPECIES
La 138.91 La.upf
N 14.01 N.upf
O 16.00 O.upf
CELL_PARAMETERS angstrom
1.846 1.066 6.060
-1.846 1.066 6.060
0.000 -2.131 6.060
ATOMIC_POSITIONS angstrom
La 0.000 0.000 4.507
La 0.000 0.000 13.672
N 0.000 0.000 9.089
O 0.000 0.000 0.000
```



La3N2O2: optimized geometry, PBE-GGA. Values from VASP.

Results
For the total moment, the calculation gives 0.19 Bohr magnetons per cell.

Structure (Quantum ESPRESSO input):
```
&SYSTEM
  ibrav = 0, nat = 7, ntyp = 3
/
ATOMIC_SPECIES
La 138.91 La.upf
N 14.01 N.upf
O 16.00 O.upf
CELL_PARAMETERS angstrom
6.411 -1.851 0.000
6.411 1.851 0.000
-3.020 0.000 5.499
ATOMIC_POSITIONS angstrom
La 0.000 0.000 0.000
La 2.999 0.000 1.747
La 6.803 0.000 3.751
N 0.401 0.000 2.292
N 9.401 0.000 3.206
O 1.602 0.000 5.487
O 8.200 0.000 0.012
```



La2NO: optimized geometry, PBE-GGA. Values from VASP.

Results
For the total moment, the calculation gives 0.00 Bohr magnetons per cell. Its energy above the lowest structure with this stoichiometry is 32 kJ/mol of formula units.

Structure (Quantum ESPRESSO input):
```
&SYSTEM
  ibrav = 0, nat = 4, ntyp = 3
/
ATOMIC_SPECIES
La 138.91 La.upf
N 14.01 N.upf
O 16.00 O.upf
CELL_PARAMETERS angstrom
3.616 0.000 0.000
-1.808 3.131 0.000
0.000 0.000 6.253
ATOMIC_POSITIONS angstrom
La 0.000 2.088 1.518
La 1.808 1.044 4.734
N 0.000 0.000 0.000
O 0.000 0.000 3.126
```



La5N4O: optimized geometry, PBE-GGA. Values from VASP.

Results
For the total moment, the calculation gives 0.00 Bohr magnetons per cell.

Structure (Quantum ESPRESSO input):
```
&SYSTEM
  ibrav = 0, nat = 10, ntyp = 3
/
ATOMIC_SPECIES
La 138.91 La.upf
N 14.01 N.upf
O 16.00 O.upf
CELL_PARAMETERS angstrom
-1.866 2.637 9.331
1.866 -2.637 9.331
1.866 2.637 -9.331
ATOMIC_POSITIONS angstrom
La 0.000 0.000 0.000
La 0.000 0.000 3.729
La 0.000 0.000 7.413
La 0.000 0.000 11.250
La 0.000 0.000 14.934
N 1.866 0.000 1.828
N 1.866 0.000 5.684
N 0.000 2.637 3.647
N 0.000 2.637 7.503
O 0.000 2.637 0.000
```



LaN2O2: optimized geometry, PBE-GGA. Values from VASP.

Results
For the total moment, the calculation gives 0.00 Bohr magnetons per cell. Its energy above the lowest structure with this stoichiometry is 251 kJ/mol of formula units.

Structure (Quantum ESPRESSO input):
```
&SYSTEM
  ibrav = 0, nat = 5, ntyp = 3
/
ATOMIC_SPECIES
La 138.91 La.upf
N 14.01 N.upf
O 16.00 O.upf
CELL_PARAMETERS angstrom
3.659 0.000 0.000
0.000 3.659 0.000
0.000 0.000 4.173
ATOMIC_POSITIONS angstrom
La 0.000 0.000 0.000
N 0.000 1.830 2.087
N 1.830 0.000 2.087
O 1.830 1.830 0.000
O 1.830 1.830 2.087
```



LaN2O2: optimized geometry, PBE-GGA. Values from VASP.

Results
For the total moment, the calculation gives 0.77 Bohr magnetons per cell. Its energy above the lowest structure with this stoichiometry is 0 kJ/mol of formula units.

Structure (Quantum ESPRESSO input):
```
&SYSTEM
  ibrav = 0, nat = 5, ntyp = 3
/
ATOMIC_SPECIES
La 138.91 La.upf
N 14.01 N.upf
O 16.00 O.upf
CELL_PARAMETERS angstrom
3.914 0.000 0.000
0.000 3.914 0.000
0.000 0.000 3.510
ATOMIC_POSITIONS angstrom
La 0.000 0.000 0.000
N 1.957 1.957 0.000
N 1.957 1.957 1.755
O 0.000 1.957 1.755
O 1.957 0.000 1.755
```



La8N6O: optimized geometry, PBE-GGA. Values from VASP.

Results
For the total moment, the calculation gives 0.00 Bohr magnetons per cell.

Structure (Quantum ESPRESSO input):
```
&SYSTEM
  ibrav = 0, nat = 15, ntyp = 3
/
ATOMIC_SPECIES
La 138.91 La.upf
N 14.01 N.upf
O 16.00 O.upf
CELL_PARAMETERS angstrom
9.576 0.000 0.000
-4.788 8.293 0.000
0.000 0.000 3.781
ATOMIC_POSITIONS angstrom
La -1.346 2.854 0.922
La -1.643 8.032 0.922
La 0.000 5.529 2.824
La 1.799 2.593 2.859
La 2.989 5.700 0.922
La 4.788 2.764 0.957
La 6.431 0.261 2.859
La 6.134 5.439 2.859
N -1.890 5.456 0.952
N 1.008 3.928 0.952
N 3.906 1.091 2.829
N 0.882 7.202 0.952
N 3.780 4.365 2.829
N 6.678 2.837 2.829
O 0.000 0.000 0.000
```



La3NO: optimized geometry, PBE-GGA. Values from VASP.

Results
For the total moment, the calculation gives 0.00 Bohr magnetons per cell. Its energy above the lowest structure with this stoichiometry is 0 kJ/mol of formula units.

Structure (Quantum ESPRESSO input):
```
&SYSTEM
  ibrav = 0, nat = 20, ntyp = 3
/
ATOMIC_SPECIES
La 138.91 La.upf
N 14.01 N.upf
O 16.00 O.upf
CELL_PARAMETERS angstrom
7.594 0.000 0.000
0.000 7.594 0.000
0.000 0.000 7.594
ATOMIC_POSITIONS angstrom
La 0.007 1.944 2.836
La 0.961 7.587 5.741
La 1.853 4.758 3.804
La 1.944 2.836 0.007
La 2.836 0.007 1.944
La 3.790 5.650 6.633
La 3.804 1.853 4.758
La 4.758 3.804 1.853
La 5.650 6.633 3.790
La 5.741 0.961 7.587
La 6.633 3.790 5.650
La 7.587 5.741 0.961
N 0.516 0.516 0.516
N 3.281 7.078 4.313
N 4.313 3.281 7.078
N 7.078 4.313 3.281
O 1.252 5.049 6.342
O 2.545 2.545 2.545
O 5.049 6.342 1.252
O 6.342 1.252 5.049
```



Let's list energy relative to the elements, uncorrected in order: -1.39, -1.32, -1.15, -1.10, -1.44, -1.18, -1.04, -2.03, -1.75, -1.65, -0.62, -1.77, -2.17, -1.99, -2.09, -1.68, 0.43, -0.09, -1.13, -1.50 eV per atom.
Let's list VASP energy in order: -71.72, -77.91, -86.02, -82.04, -109.48, -93.14, -57.66, -31.27, -63.68, -29.74, -31.18, -63.81, -31.83, -55.27, -31.49, -79.74, -29.35, -31.95, -111.33, -35.54 eV/f.u..